ErAgPb: relaxed, GGA-PBEsol.

Values from the calculation:
**E_form**: -0.4001 eV per atom
**DOS at the Fermi energy**: 0.4 states/eV/f.u.

```
data_ErAgPb
_space_group_name_H-M_alt 'P -6 2 m'
_space_group_IT_number 189
_space_group_name_Hall 'P -6 -2'
_cell_length_a 7.3352
_cell_length_b 7.3352
_cell_length_c 4.4698
_cell_angle_alpha 90.00
_cell_angle_beta 90.00
_cell_angle_gamma 120.00
loop_
_atom_site_label
_atom_site_fract_x
_atom_site_fract_y
_atom_site_fract_z
Er1 0.0000 0.5693 0.0000
Ag1 0.0000 0.2449 0.5000
Pb1 0.0000 0.0000 0.0000
Pb2 0.3333 0.6667 0.5000
```